Model i:
Entry from Alexandria via LeMat-Bulk: a geometry-optimized TiRuN2F structure (PBE).

Computed properties:
DOS at the Fermi energy	5.81	states/eV per cell

Lattice parameters (Å, degrees): 3.8767 3.8767 3.9526 90.00 90.00 90.00
Closest atoms and distances in Å follow each position.
Fractional coordinates of all 5 atoms:
Ti1 0.0000 0.0000 0.0000  4 F 2.74, 8 N 2.77
Ru1 0.5000 0.5000 0.5000  4 N 1.94, 2 F 1.98
N1 0.0000 0.5000 0.5000  2 Ru 1.94
N2 0.5000 0.0000 0.5000  2 Ru 1.94
F1 0.5000 0.5000 0.0000  2 Ru 1.98

---

Model ii:
Entry from Alexandria via LeMat-Bulk: a geometry-optimized TiRuN2F structure (PBE).

Computed properties:
DOS at the Fermi energy	5.10	states/eV per cell

Lattice parameters (Å, degrees): 3.9831 3.9831 3.7678 90.00 90.00 90.00
Closest atoms and distances in Å follow each position.
Fractional coordinates of all 5 atoms:
Ti1 0.0000 0.0000 0.0000  2 F 1.88, 4 N 1.99
Ru1 0.5000 0.5000 0.5000  8 N 2.74, 4 F 2.82
N1 0.0000 0.5000 0.0000  2 Ti 1.99
N2 0.5000 0.0000 0.0000  2 Ti 1.99
F1 0.0000 0.0000 0.5000  2 Ti 1.88

---

Most stable of them? model ii.

---

Model i:
Entry from Alexandria via LeMat-Bulk: a geometry-optimized TlRuNF2 structure (PBE).

Computed properties:
DOS at the Fermi energy	1.91	states/eV per cell

Lattice parameters (Å, degrees): 4.5051 4.5051 4.2045 90.00 90.00 90.00
Closest atoms and distances in Å follow each position.
Fractional coordinates of all 5 atoms:
Tl1 0.0000 0.0000 0.0000  2 N 2.10, 4 F 2.25
Ru1 0.5000 0.5000 0.5000  8 F 3.08, 4 N 3.19
N1 0.0000 0.0000 0.5000  2 Tl 2.10
F1 0.0000 0.5000 0.0000  2 Tl 2.25
F2 0.5000 0.0000 0.0000  2 Tl 2.25

---

Model ii:
Entry from Alexandria via LeMat-Bulk: a geometry-optimized TlRuNF2 structure (PBE).

Computed properties:
DOS at the Fermi energy	2.57	states/eV per cell

Lattice parameters (Å, degrees): 4.4598 4.4598 3.7395 90.00 90.00 90.00
Closest atoms and distances in Å follow each position.
Fractional coordinates of all 5 atoms:
Tl1 0.0000 0.0000 0.0000  8 F 2.91, 4 N 3.15
Ru1 0.5000 0.5000 0.5000  2 N 1.87
N1 0.5000 0.5000 0.0000  2 Ru 1.87
F1 0.0000 0.5000 0.5000  2 Ru 2.23
F2 0.5000 0.0000 0.5000  2 Ru 2.23

---

Most stable of them? model ii.

---

Model i:
Entry from Alexandria via LeMat-Bulk: a geometry-optimized TlRuN2F structure (PBE).

Computed properties:
DOS at the Fermi energy	2.99	states/eV per cell

Lattice parameters (Å, degrees): 4.2626 4.2626 4.4445 90.00 90.00 90.00
Closest atoms and distances in Å follow each position.
Fractional coordinates of all 5 atoms:
Tl1 0.0000 0.0000 0.0000  4 N 2.13, 2 F 2.22
Ru1 0.5000 0.5000 0.5000  4 F 3.01, 8 N 3.08
N1 0.0000 0.5000 0.0000  2 Tl 2.13
N2 0.5000 0.0000 0.0000  2 Tl 2.13
F1 0.0000 0.0000 0.5000  2 Tl 2.22

---

Model ii:
Entry from Alexandria via LeMat-Bulk: a geometry-optimized TlRuN2F structure (PBE).

Computed properties:
DOS at the Fermi energy	2.77	states/eV per cell

Lattice parameters (Å, degrees): 3.8614 3.8614 4.7573 90.00 90.00 90.00
Closest atoms and distances in Å follow each position.
Fractional coordinates of all 5 atoms:
Tl1 0.0000 0.0000 0.0000  4 F 2.73
Ru1 0.5000 0.5000 0.5000  4 N 1.93
N1 0.0000 0.5000 0.5000  2 Ru 1.93
N2 0.5000 0.0000 0.5000  2 Ru 1.93
F1 0.5000 0.5000 0.0000  2 Ru 2.38

---

Most stable of them? model ii.

---

Model i:
Entry from Alexandria via LeMat-Bulk: a geometry-optimized YRuNF2 structure (PBE).

Computed properties:
DOS at the Fermi energy	4.13	states/eV per cell

Lattice parameters (Å, degrees): 4.4070 4.4070 3.7428 90.00 90.00 90.00
Closest atoms and distances in Å follow each position.
Fractional coordinates of all 5 atoms:
Y1 0.0000 0.0000 0.0000  8 F 2.89, 4 N 3.12
Ru1 0.5000 0.5000 0.5000  2 N 1.87
N1 0.5000 0.5000 0.0000  2 Ru 1.87
F1 0.0000 0.5000 0.5000  2 Ru 2.20
F2 0.5000 0.0000 0.5000  2 Ru 2.20

---

Model ii:
Entry from Alexandria via LeMat-Bulk: a geometry-optimized YRuNF2 structure (PBE).

Computed properties:
DOS at the Fermi energy	5.58	states/eV per cell

Lattice parameters (Å, degrees): 4.2264 4.2264 4.7777 90.00 90.00 90.00
Closest atoms and distances in Å follow each position.
Fractional coordinates of all 5 atoms:
Y1 0.0000 0.0000 0.0000  4 F 2.11
Ru1 0.5000 0.5000 0.5000  4 N 2.99, 8 F 3.19
N1 0.0000 0.0000 0.5000  2 Y 2.39
F1 0.0000 0.5000 0.0000  2 Y 2.11
F2 0.5000 0.0000 0.0000  2 Y 2.11

---

Most stable of them? model i.